1.
Here is BaNa2Pt after structural relaxation from the Alexandria database. Energies are from PBE.

Cell and atoms, written as POSCAR:
```
BaNa2Pt
1.0
0.000 3.788 3.788
3.788 0.000 3.788
3.788 3.788 0.000
Ba Na Pt
1 2 1
direct
0.000 0.000 0.000 Ba
0.250 0.250 0.250 Na
0.750 0.750 0.750 Na
0.500 0.500 0.500 Pt
```

Values from the calculation:
Energy relative to the elements   -1.2 kcal/mol of atoms
M_tot   0.0 μB/f.u.

2.
Here is KLaMgPd2 after structural relaxation from the Alexandria database. Energies are from PBE.

Cell and atoms, written as POSCAR:
```
KLaMgPd2
1.0
5.226 0.000 0.000
0.000 5.226 0.000
0.000 0.000 6.056
K La Mg Pd
1 1 1 2
direct
0.000 0.000 0.000 K
0.000 0.000 0.500 La
0.500 0.500 0.000 Mg
0.000 0.500 0.500 Pd
0.500 0.000 0.500 Pd
```

Values from the calculation:
Energy relative to the elements   11.9 kcal/mol of atoms
M_tot   0.0 μB/f.u.

3.
Here is LiHoPu2Se4 after structural relaxation from the Alexandria database. Energies are from PBE.

Cell and atoms, written as POSCAR:
```
LiHoPu2Se4
1.0
7.061 0.000 0.000
0.000 4.104 0.000
-2.427 0.000 6.709
Li Ho Pu Se
1 1 2 4
direct
0.000 0.000 0.000 Li
0.000 0.500 0.500 Ho
0.500 0.000 0.500 Pu
0.500 0.500 0.000 Pu
0.238 0.500 0.246 Se
0.240 0.000 0.751 Se
0.760 0.000 0.249 Se
0.762 0.500 0.754 Se
```

Values from the calculation:
Final energy   -7.675 eV per atom
M_tot   0.1 μB/f.u.

4.
Here is BeH3S after structural relaxation from the Alexandria database. Energies are from PBE.

Cell and atoms, written as POSCAR:
```
BeH3S
1.0
3.269 0.000 0.000
0.000 3.269 0.000
0.000 0.000 3.269
Be H S
1 3 1
direct
0.000 0.000 0.000 Be
0.000 0.000 0.500 H
0.000 0.500 0.000 H
0.500 0.000 0.000 H
0.500 0.500 0.500 S
```

Values from the calculation:
Final energy   -2.724 eV per atom
M_tot   0.0 μB/f.u.

5.
Here is PuU4S5 after structural relaxation from the Alexandria database. Energies are from PBE.

Cell and atoms, written as POSCAR:
```
PuU4S5
1.0
6.595 -1.900 0.000
6.595 1.900 0.000
-4.828 0.000 8.232
Pu U S
1 4 5
direct
0.000 0.000 0.000 Pu
0.201 0.201 0.802 U
0.398 0.398 0.598 U
0.602 0.602 0.402 U
0.799 0.799 0.198 U
0.000 0.000 0.500 S
0.200 0.200 0.300 S
0.401 0.401 0.102 S
0.599 0.599 0.898 S
0.800 0.800 0.700 S
```

Values from the calculation:
Final energy   -9.455 eV per atom
M_tot   4.0 μB/f.u.

6.
Here is LiSc6Co2 after structural relaxation from the Alexandria database. Energies are from PBE.

Cell and atoms, written as POSCAR:
```
LiSc6Co2
1.0
-4.348 4.454 4.634
4.348 -4.454 4.634
4.348 4.454 -4.634
Li Sc Co
2 12 4
direct
0.000 0.000 0.000 Li
0.500 0.500 0.000 Li
0.030 0.234 0.796 Sc
0.182 0.280 0.463 Sc
0.182 0.720 0.902 Sc
0.321 0.013 0.691 Sc
0.321 0.630 0.309 Sc
0.438 0.234 0.204 Sc
0.562 0.766 0.796 Sc
0.679 0.370 0.691 Sc
0.679 0.987 0.309 Sc
0.818 0.280 0.098 Sc
0.818 0.720 0.537 Sc
0.970 0.766 0.204 Sc
0.121 0.621 0.500 Co
0.339 0.000 0.339 Co
0.661 0.000 0.661 Co
0.879 0.379 0.500 Co
```

Values from the calculation:
Energy relative to the elements   -3.6 kcal/mol of atoms
M_tot   0.0 μB/f.u.